This record from the Alexandria database describes a geometry-optimized CaHgBr structure. The functional is GGA-PBEsol.

Calculated values
Its space group is F-43m, No. 216. The value obtained for the uncorrected formation energy is -560 meV per atom.

Cell lengths 7.242, 7.242, 7.242 Å; angles 90.00, 90.00, 90.00 degrees
Fractional coordinates of all 12 atoms:
Ca 0.000 0.000 0.000
Ca 0.000 0.500 0.500
Ca 0.500 0.000 0.500
Ca 0.500 0.500 0.000
Hg 0.250 0.250 0.750
Hg 0.250 0.750 0.250
Hg 0.750 0.250 0.250
Hg 0.750 0.750 0.750
Br 0.000 0.000 0.500
Br 0.000 0.500 0.000
Br 0.500 0.000 0.000
Br 0.500 0.500 0.500


This record from the Alexandria database describes a geometry-optimized SrZnCrAs2 structure. The functional is GGA-PBEsol.

Calculated values
The value obtained for the energy relative to the elements is 1318 meV per atom. Its space group is P4/mmm, No. 123.

Cell lengths 5.471, 5.471, 5.406 Å; angles 90.00, 90.00, 90.00 degrees
Fractional coordinates of all 5 atoms:
Sr 0.000 0.000 0.000
Zn 0.000 0.000 0.500
Cr 0.500 0.500 0.500
As 0.000 0.500 0.000
As 0.500 0.000 0.000


This record from the Alexandria database describes a geometry-optimized Si2TcHg structure. The functional is GGA-PBEsol.

Calculated values
Its space group is I-42d, No. 122. The value obtained for the uncorrected formation energy is 361 meV per atom.

Cell lengths 4.067, 4.067, 16.435 Å; angles 90.00, 90.00, 90.00 degrees
Fractional coordinates of all 16 atoms:
Si 0.190 0.250 0.125
Si 0.250 0.690 0.375
Si 0.250 0.810 0.875
Si 0.310 0.250 0.625
Si 0.690 0.750 0.625
Si 0.750 0.190 0.875
Si 0.750 0.310 0.375
Si 0.810 0.750 0.125
Tc 0.000 0.000 0.000
Tc 0.000 0.500 0.250
Tc 0.500 0.000 0.750
Tc 0.500 0.500 0.500
Hg 0.000 0.000 0.500
Hg 0.000 0.500 0.750
Hg 0.500 0.000 0.250
Hg 0.500 0.500 0.000


This record from the Alexandria database describes a geometry-optimized Y2CrHgSe structure. The functional is GGA-PBEsol.

Calculated values
Its space group is P4/mmm, No. 123. The value obtained for the uncorrected formation energy is 217 meV per atom.

Cell lengths 5.265, 5.265, 5.133 Å; angles 90.00, 90.00, 90.00 degrees
Fractional coordinates of all 5 atoms:
Y 0.000 0.500 0.000
Y 0.500 0.000 0.000
Cr 0.000 0.000 0.500
Hg 0.500 0.500 0.500
Se 0.500 0.500 0.000


This record from the Alexandria database describes a geometry-optimized CrPtW2 structure. The functional is GGA-PBEsol.

Calculated values
The value obtained for the energy relative to the elements is 20 meV per atom. Its space group is Immm, No. 71.

Cell lengths 3.692, 3.984, 7.876 Å; angles 90.00, 90.00, 90.00 degrees
Fractional coordinates of all 8 atoms:
Cr 0.000 0.000 0.000
Cr 0.500 0.500 0.500
Pt 0.000 0.000 0.500
Pt 0.500 0.500 0.000
W 0.000 0.500 0.257
W 0.000 0.500 0.743
W 0.500 0.000 0.243
W 0.500 0.000 0.757


This record from the Alexandria database describes a geometry-optimized ScTl2Ag structure. The functional is GGA-PBEsol.

Calculated values
The value obtained for the energy relative to the elements is -175 meV per atom. Its space group is P4/mmm, No. 123.

Cell lengths 4.579, 4.579, 4.070 Å; angles 90.00, 90.00, 90.00 degrees
Fractional coordinates of all 4 atoms:
Sc 0.000 0.000 0.000
Tl 0.000 0.500 0.500
Tl 0.500 0.000 0.500
Ag 0.500 0.500 0.000


This record from the Alexandria database describes a geometry-optimized CdNiAg structure. The functional is GGA-PBEsol.

Calculated values
The value obtained for the energy relative to the elements is 140 meV per atom. Its space group is P3m1, No. 156.

Cell lengths 4.371, 4.371, 2.784 Å; angles 90.00, 90.00, 120.00 degrees
Fractional coordinates of all 3 atoms:
Cd 0.000 0.000 0.000
Ni 0.667 0.333 0.690
Ag 0.333 0.667 0.406


This record from the Alexandria database describes a geometry-optimized HoB4 structure. The functional is GGA-PBEsol.

Calculated values
The value obtained for the energy relative to the elements is -636 meV per atom. Its space group is P4/mbm, No. 127.

Cell lengths 7.040, 7.040, 3.974 Å; angles 90.00, 90.00, 90.00 degrees
Fractional coordinates of all 20 atoms:
Ho 0.183 0.317 0.000
Ho 0.317 0.817 0.000
Ho 0.683 0.183 0.000
Ho 0.817 0.683 0.000
B 0.000 0.000 0.203
B 0.000 0.000 0.797
B 0.039 0.823 0.500
B 0.087 0.587 0.500
B 0.177 0.039 0.500
B 0.323 0.539 0.500
B 0.413 0.087 0.500
B 0.461 0.323 0.500
B 0.500 0.500 0.203
B 0.500 0.500 0.797
B 0.539 0.677 0.500
B 0.587 0.913 0.500
B 0.677 0.461 0.500
B 0.823 0.961 0.500
B 0.913 0.413 0.500
B 0.961 0.177 0.500


This record from the Alexandria database describes a geometry-optimized TmNiB4 structure. The functional is GGA-PBEsol.

Calculated values
The value obtained for the energy relative to the elements is -629 meV per atom. Its space group is Pbam, No. 55.

Cell lengths 5.836, 11.327, 3.328 Å; angles 90.00, 90.00, 90.00 degrees
Fractional coordinates of all 24 atoms:
Tm 0.127 0.150 0.000
Tm 0.373 0.650 0.000
Tm 0.627 0.350 0.000
Tm 0.873 0.850 0.000
Ni 0.134 0.412 0.000
Ni 0.366 0.912 0.000
Ni 0.634 0.088 0.000
Ni 0.866 0.588 0.000
B 0.021 0.692 0.500
B 0.114 0.547 0.500
B 0.136 0.967 0.500
B 0.215 0.814 0.500
B 0.285 0.314 0.500
B 0.364 0.467 0.500
B 0.386 0.047 0.500
B 0.479 0.192 0.500
B 0.521 0.808 0.500
B 0.614 0.953 0.500
B 0.636 0.533 0.500
B 0.715 0.686 0.500
B 0.785 0.186 0.500
B 0.864 0.033 0.500
B 0.886 0.453 0.500
B 0.979 0.308 0.500


This record from the Alexandria database describes a geometry-optimized Na2InO structure. The functional is GGA-PBEsol.

Calculated values
Its space group is Fm-3m, No. 225. The value obtained for the uncorrected formation energy is -118 meV per atom.

Cell lengths 6.753, 6.753, 6.753 Å; angles 90.00, 90.00, 90.00 degrees
Fractional coordinates of all 16 atoms:
Na 0.250 0.250 0.250
Na 0.250 0.250 0.750
Na 0.250 0.750 0.250
Na 0.250 0.750 0.750
Na 0.750 0.250 0.250
Na 0.750 0.250 0.750
Na 0.750 0.750 0.250
Na 0.750 0.750 0.750
In 0.000 0.000 0.000
In 0.000 0.500 0.500
In 0.500 0.000 0.500
In 0.500 0.500 0.000
O 0.000 0.000 0.500
O 0.000 0.500 0.000
O 0.500 0.000 0.000
O 0.500 0.500 0.500


This record from the Alexandria database describes a geometry-optimized BaScTc structure. The functional is GGA-PBEsol.

Calculated values
The value obtained for the energy relative to the elements is 1616 meV per atom. Its space group is F-43m, No. 216.

Cell lengths 6.616, 6.616, 6.616 Å; angles 90.00, 90.00, 90.00 degrees
Fractional coordinates of all 12 atoms:
Ba 0.000 0.000 0.000
Ba 0.000 0.500 0.500
Ba 0.500 0.000 0.500
Ba 0.500 0.500 0.000
Sc 0.250 0.250 0.250
Sc 0.250 0.750 0.750
Sc 0.750 0.250 0.750
Sc 0.750 0.750 0.250
Tc 0.250 0.250 0.750
Tc 0.250 0.750 0.250
Tc 0.750 0.250 0.250
Tc 0.750 0.750 0.750


This record from the Alexandria database describes a geometry-optimized TlTc2Mo structure. The functional is GGA-PBEsol.

Calculated values
The value obtained for the energy relative to the elements is 719 meV per atom. Its space group is Pmmm, No. 47.

Cell lengths 3.151, 4.368, 4.651 Å; angles 90.00, 90.00, 90.00 degrees
Fractional coordinates of all 4 atoms:
Tl 0.000 0.000 0.000
Tc 0.000 0.500 0.500
Tc 0.500 0.500 0.000
Mo 0.500 0.000 0.500


This record from the Alexandria database describes a geometry-optimized YTeOsN2 structure. The functional is GGA-PBEsol.

Calculated values
Its space group is P4/mmm, No. 123. The value obtained for the uncorrected formation energy is 1672 meV per atom.

Cell lengths 4.090, 4.090, 6.180 Å; angles 90.00, 90.00, 90.00 degrees
Fractional coordinates of all 5 atoms:
Y 0.000 0.000 0.000
Te 0.000 0.000 0.500
Os 0.500 0.500 0.500
N 0.000 0.500 0.000
N 0.500 0.000 0.000


This record from the Alexandria database describes a geometry-optimized LiAsRh3 structure. The functional is GGA-PBEsol.

Calculated values
The value obtained for the energy relative to the elements is 625 meV per atom. Its space group is Pm-3m, No. 221.

Cell lengths 4.075, 4.075, 4.075 Å; angles 90.00, 90.00, 90.00 degrees
Fractional coordinates of all 5 atoms:
Li 0.000 0.000 0.000
As 0.500 0.500 0.500
Rh 0.000 0.000 0.500
Rh 0.000 0.500 0.000
Rh 0.500 0.000 0.000


This record from the Alexandria database describes a geometry-optimized TlNiOs2 structure. The functional is GGA-PBEsol.

Calculated values
The value obtained for the energy relative to the elements is 793 meV per atom. Its space group is P2/m, No. 10.

Cell lengths 2.791, 4.648, 4.693 Å; angles 90.00, 90.31, 90.00 degrees
Fractional coordinates of all 4 atoms:
Tl 0.000 0.000 0.000
Ni 0.500 0.000 0.500
Os 0.246 0.500 0.725
Os 0.754 0.500 0.275


This record from the Alexandria database describes a geometry-optimized CuBi2Os structure. The functional is GGA-PBEsol.

Calculated values
The value obtained for the energy relative to the elements is 679 meV per atom. Its space group is Fm-3m, No. 225.

Cell lengths 6.772, 6.772, 6.772 Å; angles 90.00, 90.00, 90.00 degrees
Fractional coordinates of all 16 atoms:
Cu 0.000 0.000 0.000
Cu 0.000 0.500 0.500
Cu 0.500 0.000 0.500
Cu 0.500 0.500 0.000
Bi 0.250 0.250 0.250
Bi 0.250 0.250 0.750
Bi 0.250 0.750 0.250
Bi 0.250 0.750 0.750
Bi 0.750 0.250 0.250
Bi 0.750 0.250 0.750
Bi 0.750 0.750 0.250
Bi 0.750 0.750 0.750
Os 0.000 0.000 0.500
Os 0.000 0.500 0.000
Os 0.500 0.000 0.000
Os 0.500 0.500 0.500


This record from the Alexandria database describes a geometry-optimized TcNi2 structure. The functional is GGA-PBEsol.

Calculated values
The value obtained for the energy relative to the elements is -53 meV per atom. Its space group is P6/mmm, No. 191.

Cell lengths 4.002, 4.002, 2.471 Å; angles 90.00, 90.00, 120.00 degrees
Fractional coordinates of all 3 atoms:
Tc 0.000 0.000 0.000
Ni 0.333 0.667 0.500
Ni 0.667 0.333 0.500


This record from the Alexandria database describes a geometry-optimized Cd2IrAu structure. The functional is GGA-PBEsol.

Calculated values
The value obtained for the energy relative to the elements is 82 meV per atom. Its space group is Cm, No. 8.

Cell lengths 10.361, 2.994, 4.836 Å; angles 90.00, 113.32, 90.00 degrees
Fractional coordinates of all 8 atoms:
Cd 0.000 0.000 0.000
Cd 0.230 0.000 0.600
Cd 0.500 0.500 0.000
Cd 0.730 0.500 0.600
Ir 0.486 0.000 0.502
Ir 0.986 0.500 0.502
Au 0.253 0.500 0.115
Au 0.753 0.000 0.115


This record from the Alexandria database describes a geometry-optimized Ba2Ag structure. The functional is GGA-PBEsol.

Calculated values
The value obtained for the energy relative to the elements is -113 meV per atom. Its space group is I4/mcm, No. 140.

Cell lengths 8.101, 8.101, 7.463 Å; angles 90.00, 90.00, 90.00 degrees
Fractional coordinates of all 12 atoms:
Ba 0.183 0.317 0.000
Ba 0.183 0.683 0.500
Ba 0.317 0.183 0.500
Ba 0.317 0.817 0.000
Ba 0.683 0.183 0.000
Ba 0.683 0.817 0.500
Ba 0.817 0.317 0.500
Ba 0.817 0.683 0.000
Ag 0.000 0.000 0.250
Ag 0.000 0.000 0.750
Ag 0.500 0.500 0.250
Ag 0.500 0.500 0.750


This record from the Alexandria database describes a geometry-optimized Zr3ZnBi structure. The functional is GGA-PBEsol.

Calculated values
The value obtained for the energy relative to the elements is 1168 meV per atom. Its space group is Pm-3m, No. 221.

Cell lengths 5.318, 5.318, 5.318 Å; angles 90.00, 90.00, 90.00 degrees
Fractional coordinates of all 5 atoms:
Zr 0.000 0.000 0.500
Zr 0.000 0.500 0.000
Zr 0.500 0.000 0.000
Zn 0.500 0.500 0.500
Bi 0.000 0.000 0.000


Number 1: E_tot -2.084 eV per atom. Number 2: E_tot -3.457 eV per atom. Number 3: E_tot -5.470 eV per atom. Number 4: E_tot -5.443 eV per atom. Number 5: E_tot -11.185 eV per atom. Number 6: E_tot -3.969 eV per atom. Number 7: E_tot -3.415 eV per atom. Number 8: E_tot -7.239 eV per atom. Number 9: E_tot -7.149 eV per atom. Number 10: E_tot -2.876 eV per atom. Number 11: E_tot -5.058 eV per atom. Number 12: E_tot -8.514 eV per atom. Number 13: E_tot -6.251 eV per atom. Number 14: E_tot -5.672 eV per atom. Number 15: E_tot -7.512 eV per atom. Number 16: E_tot -5.601 eV per atom. Number 17: E_tot -7.914 eV per atom. Number 18: E_tot -3.953 eV per atom. Number 19: E_tot -2.650 eV per atom. Number 20: E_tot -5.459 eV per atom.